DFT (GGA-PBE) results for a relaxed SrLa4Tc crystal.

Cell and atoms, written as POSCAR:
```
SrLa4Tc
1.0
2.8729 -5.8929 -0.6803
-2.3661 -4.3357 -4.3642
3.4257 -1.3859 -5.4577
La Sr Tc
4 1 1
direct
0.3708 0.8876 0.3708
0.3708 0.3708 0.3708
0.3708 0.3708 0.8876
0.8876 0.3708 0.3708
0.7500 0.7500 0.7500
0.0000 0.0000 0.0000
```

Summary:
Offset from the most stable computed form in meV per atom: 735
Space group: F-43m

---

DFT (GGA-PBE) results for a relaxed Ca2TaCu crystal.

Cell and atoms, written as POSCAR:
```
Ca2TaCu
1.0
-1.8715 0.6261 -2.4790
1.7481 -1.9356 -1.8086
-3.6134 -8.9036 0.4792
Ca Cu Ta
2 1 1
direct
0.0000 0.5214 0.4779
0.0000 0.9786 0.0221
0.5000 0.2500 0.2500
0.5000 0.7500 0.7500
```

Summary:
Offset from the most stable computed form in meV per atom: 122
Space group: P4/mmm

---

| no. | total moment (μB/cell) |
| --- | --- |
| 1 | 2.39 |
| 2 | 0.00 |